Entry 1:
Compound: La2MgFeAg
Source: the Alexandria database
Functional: PBE
Structure: relaxed

Values from the calculation:
Crystal system: tetragonal
Energy of formation from the pure elements in eV per formula unit: -0.08
SG: P4/mmm, No. 123

```
La2MgFeAg
1.0
5.092 0.000 0.000
0.000 5.092 0.000
0.000 0.000 5.103
La Mg Fe Ag
2 1 1 1
direct
0.000 0.500 0.000 La
0.500 0.000 0.000 La
0.000 0.000 0.500 Mg
0.000 0.000 0.000 Fe
0.500 0.500 0.500 Ag
```

Entry 2:
Compound: TmHgRh
Source: the Alexandria database
Functional: PBE
Structure: relaxed

Values from the calculation:
Crystal system: orthorhombic
Energy of formation from the pure elements in eV per formula unit: -1.57
SG: Immm, No. 71

```
TmHgRh
1.0
-2.052 2.908 5.354
2.052 -2.908 5.354
2.052 2.908 -5.354
Tm Hg Rh
2 2 2
direct
0.204 0.204 0.000 Tm
0.796 0.796 0.000 Tm
0.244 0.500 0.744 Hg
0.756 0.500 0.256 Hg
0.373 0.873 0.500 Rh
0.627 0.127 0.500 Rh
```

Entry 3:
Compound: Tl4In6Sn
Source: the Alexandria database
Functional: PBE
Structure: relaxed

Values from the calculation:
Crystal system: hexagonal
Energy of formation from the pure elements in eV per formula unit: 0.51
SG: P6_3/mmc, No. 194

```
Tl4In6Sn
1.0
5.399 0.000 0.000
-2.699 4.675 0.000
0.000 0.000 25.447
Tl In Sn
8 12 2
direct
0.000 0.000 0.125 Tl
0.000 0.000 0.375 Tl
0.000 0.000 0.625 Tl
0.000 0.000 0.875 Tl
0.333 0.667 0.044 Tl
0.333 0.667 0.456 Tl
0.667 0.333 0.544 Tl
0.667 0.333 0.956 Tl
0.000 0.000 0.000 In
0.000 0.000 0.250 In
0.000 0.000 0.500 In
0.000 0.000 0.750 In
0.333 0.667 0.184 In
0.333 0.667 0.316 In
0.333 0.667 0.611 In
0.333 0.667 0.889 In
0.667 0.333 0.111 In
0.667 0.333 0.389 In
0.667 0.333 0.684 In
0.667 0.333 0.816 In
0.333 0.667 0.750 Sn
0.667 0.333 0.250 Sn
```

Entry 4:
Compound: RuAuS2N
Source: the Alexandria database
Functional: PBE
Structure: relaxed

Values from the calculation:
Crystal system: tetragonal
SG: P4/mmm, No. 123
Formation energy from raw total energies in kJ per mole of atoms: 163

```
RuAuS2N
1.0
5.015 0.000 0.000
0.000 5.015 0.000
0.000 0.000 3.730
Ru Au S N
1 1 2 1
direct
0.000 0.000 0.000 Ru
0.500 0.500 0.500 Au
0.000 0.500 0.500 S
0.500 0.000 0.500 S
0.500 0.500 0.000 N
```

Entry 5:
Compound: MgTcBi2Os
Source: the Alexandria database
Functional: PBE
Structure: relaxed

Values from the calculation:
Crystal system: tetragonal
Energy of formation from the pure elements in eV per formula unit: 9.99
SG: P4/mmm, No. 123

```
MgTcBi2Os
1.0
5.167 0.000 0.000
0.000 5.167 0.000
0.000 0.000 4.609
Mg Tc Bi Os
1 1 2 1
direct
0.000 0.000 0.000 Mg
0.000 0.000 0.500 Tc
0.000 0.500 0.000 Bi
0.500 0.000 0.000 Bi
0.500 0.500 0.500 Os
```

Entry 6:
Compound: TaAl2W
Source: the Alexandria database
Functional: PBE
Structure: relaxed

Values from the calculation:
Crystal system: tetragonal
Energy of formation from the pure elements in eV per formula unit: -0.48
SG: P4mm, No. 99

```
TaAl2W
1.0
3.375 0.000 0.000
0.000 3.375 0.000
0.000 0.000 5.797
Ta Al W
1 2 1
direct
0.000 0.000 0.000 Ta
0.000 0.000 0.486 Al
0.500 0.500 0.724 Al
0.500 0.500 0.227 W
```

Entry 7:
Compound: SmSn2Ir2
Source: the Alexandria database
Functional: PBE
Structure: relaxed

Values from the calculation:
Crystal system: monoclinic
Energy of formation from the pure elements in eV per formula unit: -2.61
SG: P2_1/m, No. 11

```
SmSn2Ir2
1.0
4.693 0.000 0.000
0.000 4.465 0.000
-1.111 0.000 10.564
Sm Sn Ir
2 4 4
direct
0.188 0.250 0.257 Sm
0.812 0.750 0.743 Sm
0.249 0.750 0.496 Sn
0.337 0.250 0.878 Sn
0.663 0.750 0.122 Sn
0.751 0.250 0.504 Sn
0.144 0.750 0.001 Ir
0.282 0.250 0.633 Ir
0.718 0.750 0.367 Ir
0.856 0.250 0.999 Ir
```

Entry 8:
Compound: LaFePb2
Source: the Alexandria database
Functional: PBE
Structure: relaxed

Values from the calculation:
Crystal system: monoclinic
Energy of formation from the pure elements in eV per formula unit: 0.32
SG: Pm, No. 6

```
LaFePb2
1.0
4.917 0.000 0.000
0.000 3.891 0.000
-2.450 0.000 5.672
La Fe Pb
1 1 2
direct
0.000 0.000 0.000 La
0.533 0.500 0.067 Fe
0.293 0.500 0.586 Pb
0.707 0.000 0.414 Pb
```

Total energy in eV/f.u., matching the order above: -22.8, -13.7, -29.4, -20.7, -21.0, -32.8, -33.1, -20.5
DOS(E_F) in states/eV per cell, matching the order above: 4.1, 1.9, 7.8, 5.7, 7.9, 2.4, 6.1, 4.3
Total moment in μB per cell, matching the order above: 0.0, 0.0, 0.0, 3.3, 3.1, 0.0, 0.0, 1.9